[1]
Entry from Alexandria via LeMat-Bulk: a relaxed Ca2GaCoRh crystal (GGA-PBE).

Cell: 5.367 4.731 5.367 Å, 90.00 90.00 90.00°
Element x y z (fractional)
Co: 0.500 0.500 0.500
Ca: 0.000 0.000 0.500
Ca: 0.500 0.000 0.000
Rh: 0.000 0.000 0.000
Ga: 0.000 0.500 0.000

- energy of formation from the pure elements (meV per atom) = 234.1
- total magnetization (μB/f.u.) = 1.69

[2]
Entry from Alexandria via LeMat-Bulk: a relaxed Ca2Ga5CoRh2 crystal (GGA-PBE).

Cell: 3.062 10.620 10.620 Å, 90.00 90.00 90.00°
Element x y z (fractional)
Ca: 0.000 0.679 0.179
Ca: 0.000 0.321 0.821
Ca: 0.000 0.179 0.321
Ca: 0.000 0.821 0.679
Ga: 0.500 0.181 0.057
Ga: 0.500 0.819 0.943
Ga: 0.500 0.057 0.819
Ga: 0.500 0.681 0.443
Ga: 0.500 0.943 0.181
Ga: 0.500 0.319 0.557
Ga: 0.500 0.557 0.681
Ga: 0.500 0.443 0.319
Ga: 0.500 0.500 0.000
Ga: 0.500 0.000 0.500
Co: 0.000 0.000 0.000
Co: 0.000 0.500 0.500
Rh: 0.000 0.131 0.631
Rh: 0.000 0.869 0.369
Rh: 0.000 0.631 0.869
Rh: 0.000 0.369 0.131

- energy of formation from the pure elements (meV per atom) = -420.5
- total magnetization (μB/f.u.) = 1.02

[3]
Entry from Alexandria via LeMat-Bulk: a relaxed Ca2Ga5CoRu2 crystal (GGA-PBE).

Cell: 3.076 10.573 10.573 Å, 90.00 90.00 90.00°
Element x y z (fractional)
Ca: 0.000 0.678 0.178
Ca: 0.000 0.322 0.822
Ca: 0.000 0.178 0.322
Ca: 0.000 0.822 0.678
Ga: 0.500 0.183 0.057
Ga: 0.500 0.817 0.943
Ga: 0.500 0.057 0.817
Ga: 0.500 0.683 0.443
Ga: 0.500 0.943 0.183
Ga: 0.500 0.317 0.557
Ga: 0.500 0.557 0.683
Ga: 0.500 0.443 0.317
Ga: 0.500 0.500 0.000
Ga: 0.500 0.000 0.500
Co: 0.000 0.000 0.000
Co: 0.000 0.500 0.500
Ru: 0.000 0.132 0.632
Ru: 0.000 0.868 0.368
Ru: 0.000 0.632 0.868
Ru: 0.000 0.368 0.132

- energy of formation from the pure elements (meV per atom) = -282.4
- total magnetization (μB/f.u.) = 0.61

[4]
Entry from Alexandria via LeMat-Bulk: a relaxed CaGa2CoSn crystal (GGA-PBE).

Cell: 4.620 4.620 4.970 Å, 90.00 90.00 90.00°
Element x y z (fractional)
Ca: 0.500 0.500 0.500
Co: 0.000 0.000 0.000
Sn: 0.000 0.000 0.500
Ga: 0.000 0.500 0.000
Ga: 0.500 0.000 0.000

- energy of formation from the pure elements (meV per atom) = -245.1
- total magnetization (μB/f.u.) = 0.00

[5]
Entry from Alexandria via LeMat-Bulk: a relaxed SrCa2GaCo crystal (GGA-PBE).

Cell: 5.383 5.383 4.855 Å, 90.00 90.00 90.00°
Element x y z (fractional)
Sr: 0.500 0.500 0.500
Ca: 0.000 0.500 0.000
Ca: 0.500 0.000 0.000
Co: 0.000 0.000 0.000
Ga: 0.000 0.000 0.500

- energy of formation from the pure elements (meV per atom) = -12.0
- total magnetization (μB/f.u.) = 0.04

[6]
Entry from Alexandria via LeMat-Bulk: a relaxed Ca2GaCoW crystal (GGA-PBE).

Cell: 5.324 4.438 5.324 Å, 90.00 90.00 90.00°
Element x y z (fractional)
Ca: 0.000 0.000 0.500
Ca: 0.500 0.000 0.000
Co: 0.000 0.000 0.000
Ga: 0.500 0.500 0.500
W: 0.000 0.500 0.000

- energy of formation from the pure elements (meV per atom) = 660.0
- total magnetization (μB/f.u.) = 1.18

[7]
Entry from Alexandria via LeMat-Bulk: a relaxed CaGdCo4 crystal (GGA-PBE).

Cell: 5.103 5.103 5.103 Å, 60.00 60.00 60.00°
Element x y z (fractional)
Ca: 0.250 0.250 0.250
Gd: 0.000 0.000 0.000
Co: 0.625 0.625 0.124
Co: 0.625 0.124 0.625
Co: 0.625 0.625 0.625
Co: 0.124 0.625 0.625

- energy of formation from the pure elements (meV per atom) = -13.1
- total magnetization (μB/f.u.) = 11.77

[8]
Entry from Alexandria via LeMat-Bulk: a relaxed LiCaGdCo crystal (GGA-PBE).

Cell: 4.951 4.951 4.951 Å, 60.00 60.00 60.00°
Element x y z (fractional)
Ca: 0.250 0.250 0.250
Gd: 0.750 0.750 0.750
Co: 0.500 0.500 0.500
Li: 0.000 0.000 0.000

- energy of formation from the pure elements (meV per atom) = 115.8
- total magnetization (μB/f.u.) = 7.27

[9]
Entry from Alexandria via LeMat-Bulk: a relaxed CaCoGe3 crystal (GGA-PBE).

Cell: 4.052 8.360 10.588 Å, 90.00 90.00 90.00°
Element x y z (fractional)
Ca: 0.750 0.809 0.028
Ca: 0.250 0.691 0.528
Ca: 0.750 0.309 0.472
Ca: 0.250 0.191 0.972
Co: 0.250 0.078 0.655
Co: 0.250 0.578 0.845
Co: 0.750 0.422 0.155
Co: 0.750 0.922 0.345
Ge: 0.250 0.557 0.081
Ge: 0.750 0.443 0.919
Ge: 0.250 0.057 0.419
Ge: 0.750 0.943 0.581
Ge: 0.250 0.379 0.680
Ge: 0.750 0.121 0.180
Ge: 0.250 0.879 0.820
Ge: 0.750 0.671 0.740
Ge: 0.250 0.329 0.260
Ge: 0.750 0.171 0.760
Ge: 0.750 0.621 0.320
Ge: 0.250 0.829 0.240

- energy of formation from the pure elements (meV per atom) = -362.4
- total magnetization (μB/f.u.) = 0.00

[10]
Entry from Alexandria via LeMat-Bulk: a relaxed CaCo4Ge12 crystal (GGA-PBE).

Cell: 7.285 7.285 7.285 Å, 109.47 109.47 109.47°
Element x y z (fractional)
Ca: 0.000 0.000 0.000
Co: 0.000 0.500 0.000
Co: 0.500 0.000 0.000
Co: 0.500 0.500 0.500
Co: 0.000 0.000 0.500
Ge: 0.834 0.342 0.177
Ge: 0.342 0.508 0.166
Ge: 0.823 0.166 0.658
Ge: 0.342 0.177 0.834
Ge: 0.177 0.834 0.342
Ge: 0.658 0.492 0.834
Ge: 0.508 0.166 0.342
Ge: 0.492 0.834 0.658
Ge: 0.658 0.823 0.166
Ge: 0.834 0.658 0.492
Ge: 0.166 0.342 0.508
Ge: 0.166 0.658 0.823

- energy of formation from the pure elements (meV per atom) = -67.0
- total magnetization (μB/f.u.) = 0.80

[11]
Entry from Alexandria via LeMat-Bulk: a relaxed CaCo2Ge7 crystal (GGA-PBE).

Cell: 3.983 7.521 7.521 Å, 115.86 90.00 90.00°
Element x y z (fractional)
Ca: 0.000 0.000 0.000
Co: 0.500 0.675 0.325
Co: 0.500 0.325 0.675
Ge: 0.000 0.765 0.235
Ge: 0.000 0.235 0.765
Ge: 0.500 0.054 0.350
Ge: 0.500 0.946 0.650
Ge: 0.500 0.350 0.054
Ge: 0.500 0.650 0.946
Ge: 0.500 0.500 0.500

- energy of formation from the pure elements (meV per atom) = 4.7
- total magnetization (μB/f.u.) = 0.00

[12]
Entry from Alexandria via LeMat-Bulk: a relaxed CaCo5Ge3 crystal (GGA-PBE).

Cell: 3.847 6.462 11.130 Å, 90.00 90.00 107.32°
Element x y z (fractional)
Ca: 0.813 0.627 0.750
Ca: 0.187 0.373 0.250
Co: 0.811 0.622 0.441
Co: 0.189 0.378 0.941
Co: 0.000 0.000 0.500
Co: 0.000 0.000 0.000
Co: 0.453 0.906 0.141
Co: 0.547 0.094 0.859
Co: 0.547 0.094 0.641
Co: 0.811 0.622 0.059
Co: 0.189 0.378 0.559
Co: 0.453 0.906 0.359
Ge: 0.374 0.748 0.949
Ge: 0.899 0.798 0.250
Ge: 0.374 0.748 0.551
Ge: 0.626 0.252 0.449
Ge: 0.101 0.202 0.750
Ge: 0.626 0.252 0.051

- energy of formation from the pure elements (meV per atom) = -241.0
- total magnetization (μB/f.u.) = 2.85

[13]
Entry from Alexandria via LeMat-Bulk: a relaxed CaCoGe crystal (GGA-PBE).

Cell: 4.204 6.827 5.957 Å, 67.13 69.38 52.09°
Element x y z (fractional)
Co: 0.181 0.122 0.396
Co: 0.819 0.878 0.604
Ge: 0.673 0.206 0.243
Ge: 0.327 0.794 0.757
Ca: 0.705 0.687 0.218
Ca: 0.295 0.313 0.782

- energy of formation from the pure elements (meV per atom) = -393.2
- total magnetization (μB/f.u.) = 0.00

[14]
Entry from Alexandria via LeMat-Bulk: a relaxed CaCo3Ge crystal (GGA-PBE).

Cell: 4.451 4.451 4.451 Å, 90.00 90.00 90.00°
Element x y z (fractional)
Ge: 0.000 0.000 0.000
Co: 0.000 0.500 0.000
Co: 0.000 0.000 0.500
Co: 0.500 0.000 0.000
Ca: 0.500 0.500 0.500

- energy of formation from the pure elements (meV per atom) = 393.6
- total magnetization (μB/f.u.) = 3.15

[15]
Entry from Alexandria via LeMat-Bulk: a relaxed Ca2CoGe crystal (GGA-PBE).

Cell: 10.296 10.296 7.613 Å, 47.45 47.45 90.00°
Element x y z (fractional)
Ge: 0.000 0.000 0.000
Ge: 0.750 0.250 0.500
Co: 0.500 0.500 0.000
Co: 0.250 0.750 0.500
Ca: 0.444 0.125 0.250
Ca: 0.306 0.625 0.250
Ca: 0.375 0.556 0.750
Ca: 0.875 0.694 0.750

- energy of formation from the pure elements (meV per atom) = -130.4
- total magnetization (μB/f.u.) = 0.00

[16]
Entry from Alexandria via LeMat-Bulk: a relaxed CaCo9Ge4 crystal (GGA-PBE).

Cell: 7.870 7.870 8.127 Å, 118.96 118.96 90.00°
Element x y z (fractional)
Ca: 0.750 0.750 0.500
Ca: 0.250 0.250 0.500
Co: 0.066 0.198 0.000
Co: 0.934 0.802 0.000
Co: 0.566 0.302 0.000
Co: 0.434 0.698 0.000
Co: 0.302 0.434 0.000
Co: 0.698 0.566 0.000
Co: 0.198 0.934 0.000
Co: 0.802 0.066 0.000
Co: 0.000 0.500 0.000
Co: 0.500 0.000 0.000
Co: 0.800 0.300 0.353
Co: 0.554 0.054 0.353
Co: 0.946 0.200 0.647
Co: 0.700 0.446 0.647
Co: 0.200 0.700 0.647
Co: 0.446 0.946 0.647
Co: 0.300 0.554 0.353
Co: 0.054 0.800 0.353
Ge: 0.299 0.799 0.254
Ge: 0.954 0.454 0.254
Ge: 0.546 0.701 0.746
Ge: 0.201 0.046 0.746
Ge: 0.701 0.201 0.746
Ge: 0.046 0.546 0.746
Ge: 0.799 0.954 0.254
Ge: 0.454 0.299 0.254

- energy of formation from the pure elements (meV per atom) = -208.0
- total magnetization (μB/f.u.) = 7.25

[17]
Entry from Alexandria via LeMat-Bulk: a relaxed CaCoGe3 crystal (GGA-PBE).

Cell: 4.652 4.652 4.652 Å, 90.00 90.00 90.00°
Element x y z (fractional)
Ge: 0.000 0.500 0.000
Ge: 0.000 0.000 0.500
Ge: 0.500 0.000 0.000
Co: 0.000 0.000 0.000
Ca: 0.500 0.500 0.500

- energy of formation from the pure elements (meV per atom) = -79.9
- total magnetization (μB/f.u.) = 0.00

[18]
Entry from Alexandria via LeMat-Bulk: a relaxed CaCo3Ge3 crystal (GGA-PBE).

Cell: 6.425 6.425 6.425 Å, 90.00 90.00 90.00°
Element x y z (fractional)
Ge: 0.000 0.250 0.500
Ge: 0.000 0.750 0.500
Ge: 0.500 0.000 0.750
Ge: 0.750 0.500 0.000
Ge: 0.500 0.000 0.250
Ge: 0.250 0.500 0.000
Co: 0.250 0.000 0.500
Co: 0.000 0.500 0.250
Co: 0.500 0.750 0.000
Co: 0.750 0.000 0.500
Co: 0.000 0.500 0.750
Co: 0.500 0.250 0.000
Ca: 0.500 0.500 0.500
Ca: 0.000 0.000 0.000

- energy of formation from the pure elements (meV per atom) = 8.4
- total magnetization (μB/f.u.) = 0.00

[19]
Entry from Alexandria via LeMat-Bulk: a relaxed CaCo3Ge3 crystal (GGA-PBE).

Cell: 6.344 6.344 8.022 Å, 66.71 66.71 60.00°
Element x y z (fractional)
Ca: 0.325 0.325 0.024
Ca: 0.675 0.675 0.976
Co: 0.562 0.781 0.623
Co: 0.781 0.034 0.623
Co: 0.034 0.562 0.623
Co: 0.966 0.438 0.377
Co: 0.219 0.966 0.377
Co: 0.438 0.219 0.377
Ge: 0.211 0.660 0.297
Ge: 0.832 0.211 0.297
Ge: 0.660 0.832 0.297
Ge: 0.340 0.168 0.703
Ge: 0.168 0.789 0.703
Ge: 0.789 0.340 0.703

- energy of formation from the pure elements (meV per atom) = -140.6
- total magnetization (μB/f.u.) = 1.84

[20]
Entry from Alexandria via LeMat-Bulk: a relaxed CaCoGe crystal (GGA-PBE).

Cell: 4.338 4.010 4.010 Å, 120.00 90.00 90.00°
Element x y z (fractional)
Ge: 0.167 0.000 0.000
Co: 0.167 0.667 0.333
Ca: 0.667 0.333 0.667

- energy of formation from the pure elements (meV per atom) = -299.3
- total magnetization (μB/f.u.) = 0.09

[21]
Entry from Alexandria via LeMat-Bulk: a relaxed CaCo2Ge4 crystal (GGA-PBE).

Cell: 5.006 5.006 7.160 Å, 69.54 69.54 90.00°
Element x y z (fractional)
Ge: 0.765 0.765 0.469
Ge: 0.235 0.235 0.531
Ge: 0.000 0.500 0.000
Ge: 0.500 0.000 0.000
Co: 0.590 0.590 0.821
Co: 0.410 0.410 0.179
Ca: 0.000 0.000 0.000

- energy of formation from the pure elements (meV per atom) = 819.5
- total magnetization (μB/f.u.) = 0.00

[22]
Entry from Alexandria via LeMat-Bulk: a relaxed Ca3CoGe crystal (GGA-PBE).

Cell: 5.215 5.215 5.215 Å, 90.00 90.00 90.00°
Element x y z (fractional)
Ge: 0.500 0.500 0.500
Co: 0.000 0.000 0.000
Ca: 0.000 0.500 0.000
Ca: 0.000 0.000 0.500
Ca: 0.500 0.000 0.000

- energy of formation from the pure elements (meV per atom) = 187.9
- total magnetization (μB/f.u.) = 1.00